[1]
LaZnRu2: relaxed, GGA-PBE.

Calculated values
Space group = No. 123
DOS at the Fermi energy = 6.498 states/eV/f.u.
Calculated volume = 72.60 Å³/cell
Electronic total energy = -24.212 eV per cell

Cell and atoms, written as POSCAR:
```
LaZnRu2
1.0
-2.1530 -1.5625 -2.0736
-0.8217 -2.1470 2.4709
-4.6573 3.9352 1.8705
Ru Zn La
2 1 1
Direct
0.0000 0.0000 0.0465 Ru
0.0000 0.0000 0.4535 Ru
0.5000 0.5000 0.2500 Zn
0.5000 0.5000 0.7500 La
```



[2]
ZnCdO2: relaxed, GGA-PBE.

Calculated values
Space group = No. 1
DOS at the Fermi energy = 0.025 states/eV/f.u.
Calculated volume = 106.53 Å³/cell
Formation energy from raw total energies = -1.143 eV per atom
Electronic total energy = -33.354 eV per cell

Cell and atoms, written as POSCAR:
```
ZnCdO2
1.0
6.2889 -0.0099 -0.0158
-3.3601 5.6207 0.0104
-2.9129 -4.7210 3.0222
Zn O Cd
2 4 2
Direct
0.9074 0.4073 0.6623 Zn
0.6637 0.6799 0.3864 Zn
0.3383 0.2494 0.8136 O
0.1671 0.5150 0.5562 O
0.6440 0.4992 0.5679 O
0.3947 0.7808 0.2908 O
0.9097 0.9265 0.1433 Cd
0.6564 0.1674 0.9021 Cd
```



[3]
BiC3Cl: relaxed, GGA-PBE.

Calculated values
Space group = No. 221
DOS at the Fermi energy = 4.157 states/eV/f.u.
Distance to the lowest polymorph of the same formula = 0 meV/atom
Calculated volume = 67.35 Å³/cell
Formation energy from raw total energies = 3.152 eV per atom
Electronic total energy = -17.639 eV per cell

Cell and atoms, written as POSCAR:
```
BiC3Cl
1.0
-1.3452 -0.3902 3.8198
2.1145 -3.4537 0.3919
3.2050 2.1148 1.3447
Bi Cl C
1 1 3
Direct
0.5000 0.5000 0.5000 Bi
0.0000 0.0000 0.0000 Cl
0.0000 0.5000 0.0000 C
0.5000 0.0000 0.0000 C
0.0000 0.0000 0.5000 C
```